CeBi2Pb | the Alexandria database | PBE-GGA | optimized geometry; ΔE_f = -0.27 eV/atom; polymorph energy (0 for the lowest one) = 162 meV per atom; mass density = 10.0 g/cm³; space group = Fm-3m, No. 225
1.0
5.646 0.000 0.000
2.823 4.889 0.000
2.823 1.630 4.610
Pb Bi Ce
1 2 1
Direct
0.500 0.500 0.500
0.250 0.250 0.250
0.750 0.750 0.750
0.000 0.000 0.000